DFT (PBE) results for crystalline Ba2TlRe at its relaxed geometry.

Values from the calculation:
- Total magnetization: 0.00 Bohr magnetons per cell
- ΔH_f (0 K): 0.65 eV per atom
- Symmetry: P4mm
- Relative energy among the computed polymorphs: 30 meV per atom

Lattice parameters (Å, degrees): 3.8521 3.8521 9.5333 90.00 90.00 90.00
Element x y z (fractional)
1 Ba 0.0000 0.0000 0.9074
2 Ba 0.5000 0.5000 0.3354
3 Tl 0.5000 0.5000 0.6764
4 Re 0.0000 0.0000 0.5808

DFT (PBE) results for crystalline Ba2Cu2O5 at its relaxed geometry.

Values from the calculation:
- Total magnetization: 0.00 Bohr magnetons per cell
- Symmetry: Imma
- Uncorrected formation energy: -1.438 eV/atom

Lattice parameters (Å, degrees): 8.9859 8.9859 8.9859 142.47 142.62 54.00
Element x y z (fractional)
1 O 0.9827 0.5001 0.9828
2 O 0.3432 0.3219 0.9437
3 O 0.6218 0.6781 0.0213
4 O 0.1218 0.1005 0.9437
5 O 0.7356 0.2531 0.9825
6 O 0.8432 0.8995 0.0213
7 O 0.7294 0.7469 0.4825
8 O 0.2294 0.7469 0.9825
9 O 0.2356 0.2531 0.4825
10 O 0.4827 0.4999 0.4826
11 Cu 0.7326 0.7072 0.9398
12 Cu 0.2326 0.2928 0.0254
13 Cu 0.9825 0.0000 0.9825
14 Cu 0.4825 0.5000 0.9825
15 Ba 0.8660 0.3908 0.4898
16 Ba 0.3660 0.8762 0.4752
17 Ba 0.5990 0.1238 0.4898
18 Ba 0.0990 0.6092 0.4752

DFT (PBE) results for crystalline HfSc2Ni at its relaxed geometry.

Values from the calculation:
- Total magnetization: 0.00 Bohr magnetons per cell
- ΔH_f (0 K): -0.24 eV per atom
- Symmetry: Cmcm
- Relative energy among the computed polymorphs: 1 meV per atom

Lattice parameters (Å, degrees): 3.2379 5.8346 8.8095 90.00 90.00 106.11
Element x y z (fractional)
1 Sc 0.3668 0.7337 0.9357
2 Sc 0.6332 0.2663 0.0643
3 Sc 0.6332 0.2663 0.4357
4 Sc 0.3668 0.7337 0.5643
5 Hf 0.9334 0.8666 0.2500
6 Hf 0.0666 0.1334 0.7500
7 Ni 0.2486 0.4968 0.2500
8 Ni 0.7514 0.5032 0.7500

DFT (PBE) results for crystalline Y2Cu3NiGe4 at its relaxed geometry.

Values from the calculation:
- Total magnetization: 0.00 Bohr magnetons per cell
- ΔH_f (0 K): -0.51 eV per atom
- Symmetry: P-4m2

Lattice parameters (Å, degrees): 4.0937 4.0937 10.1277 90.00 90.00 90.00
Element x y z (fractional)
1 Cu 0.0000 0.0000 0.5000
2 Cu 0.5000 0.0000 0.8622
3 Cu 0.0000 0.5000 0.1378
4 Ge 0.0000 0.0000 0.0000
5 Ge 0.0000 0.5000 0.3726
6 Ge 0.5000 0.0000 0.6274
7 Ge 0.5000 0.5000 0.0000
8 Y 0.5000 0.0000 0.2588
9 Y 0.0000 0.5000 0.7412
10 Ni 0.5000 0.5000 0.5000

DFT (PBE) results for crystalline Th2InO at its relaxed geometry.

Values from the calculation:
- Total magnetization: 0.01 Bohr magnetons per cell
- Symmetry: R-3m
- Uncorrected formation energy: -0.981 eV/atom

Lattice parameters (Å, degrees): 3.5061 3.5061 9.9741 79.88 79.88 60.00
Element x y z (fractional)
1 O 0.5000 0.5000 0.5000
2 Th 0.1137 0.1137 0.6589
3 Th 0.8863 0.8863 0.3411
4 In 0.0000 0.0000 0.0000

DFT (PBE) results for crystalline YSi2Br at its relaxed geometry.

Values from the calculation:
- Total magnetization: 0.00 Bohr magnetons per cell
- Symmetry: P4/mmm
- Uncorrected formation energy: -0.193 eV/atom
- Relative energy among the computed polymorphs: 526 meV per atom

Lattice parameters (Å, degrees): 4.1696 4.1696 5.4808 90.00 90.00 90.00
Element x y z (fractional)
1 Y 0.5000 0.5000 0.2500
2 Br 0.5000 0.5000 0.7500
3 Si 0.0000 0.0000 0.4576
4 Si 0.0000 0.0000 0.0424

DFT (PBE) results for crystalline BaLi4Au2 at its relaxed geometry.

Values from the calculation:
- Total magnetization: 0.00 Bohr magnetons per cell
- ΔH_f (0 K): -0.42 eV per atom
- Symmetry: Cmmm
- Relative energy among the computed polymorphs: 27 meV per atom

Lattice parameters (Å, degrees): 4.4209 4.4408 8.3458 105.43 90.00 90.00
Element x y z (fractional)
1 Li 0.5000 0.1917 0.3834
2 Li 0.0000 0.3148 0.6297
3 Li 0.5000 0.8083 0.6166
4 Li 0.0000 0.6852 0.3703
5 Au 0.5000 0.4043 0.8085
6 Au 0.5000 0.5957 0.1915
7 Ba 0.0000 0.0000 0.0000

DFT (PBE) results for crystalline Na2SrCuTe at its relaxed geometry.

Values from the calculation:
- Total magnetization: 0.00 Bohr magnetons per cell
- Symmetry: P4/mmm
- Uncorrected formation energy: -0.156 eV/atom

Lattice parameters (Å, degrees): 5.7032 6.3832 5.7032 90.00 90.00 90.00
Element x y z (fractional)
1 Sr 0.0000 0.5000 0.0000
2 Na 0.0000 0.0000 0.5000
3 Na 0.5000 0.0000 0.0000
4 Cu 0.5000 0.5000 0.5000
5 Te 0.0000 0.0000 0.0000

DFT (PBE) results for crystalline ScTiGe2 at its relaxed geometry.

Values from the calculation:
- Total magnetization: 2.95 Bohr magnetons per cell
- ΔH_f (0 K): 0.01 eV per atom
- Symmetry: I-42d
- Relative energy among the computed polymorphs: 609 meV per atom

Lattice parameters (Å, degrees): 4.2484 4.2484 9.6663 77.31 77.31 90.00
Element x y z (fractional)
1 Ge 0.6855 0.1250 0.2500
2 Ge 0.8750 0.9355 0.7500
3 Ge 0.3750 0.3145 0.7500
4 Ge 0.0645 0.6250 0.2500
5 Sc 0.2500 0.7500 0.5000
6 Sc 0.5000 0.5000 0.0000
7 Ti 0.0000 0.0000 0.0000
8 Ti 0.7500 0.2500 0.5000

DFT (PBE) results for crystalline La3CoI2 at its relaxed geometry.

Values from the calculation:
- Total magnetization: 0.40 Bohr magnetons per cell
- Symmetry: Immm
- Uncorrected formation energy: -0.795 eV/atom

Lattice parameters (Å, degrees): 3.9813 6.4316 8.4545 112.36 103.62 90.00
Element x y z (fractional)
1 I 0.3168 0.8168 0.6336
2 I 0.6832 0.1832 0.3664
3 La 0.0000 0.0000 0.0000
4 La 0.6173 0.6173 0.2347
5 La 0.3827 0.3827 0.7653
6 Co 0.0000 0.5000 0.0000

DFT (PBE) results for crystalline YTcNiP2 at its relaxed geometry.

Values from the calculation:
- Total magnetization: 0.00 Bohr magnetons per cell
- ΔH_f (0 K): -0.90 eV per atom
- Symmetry: I-4m2

Lattice parameters (Å, degrees): 3.8982 3.8982 5.7272 109.90 109.90 90.00
Element x y z (fractional)
1 P 0.3790 0.3790 0.7580
2 P 0.6210 0.6210 0.2420
3 Ni 0.7500 0.2500 0.5000
4 Tc 0.2500 0.7500 0.5000
5 Y 0.0000 0.0000 0.0000

DFT (PBE) results for crystalline SrGdI2 at its relaxed geometry.

Values from the calculation:
- Total magnetization: 7.81 Bohr magnetons per cell
- Symmetry: R-3m
- Uncorrected formation energy: -0.800 eV/atom

Lattice parameters (Å, degrees): 4.2181 4.2181 11.1320 79.08 79.08 60.00
Element x y z (fractional)
1 Sr 0.5000 0.5000 0.5000
2 Gd 0.0000 0.0000 0.0000
3 I 0.9020 0.9020 0.2940
4 I 0.0980 0.0980 0.7060